This record from Alexandria describes an optimized crystal structure of CeTeO4F. The functional is PBE.

Summary:
Formation energy (no corrections)   -2.08 eV per atom
Theoretical density   5.2 g/cm3
Space-group type   No. 12
DOS at the Fermi energy   0.42 states/eV/atom

Geometry as POSCAR:
```
CeTeO4F
1.0
-0.2743 -3.9059 -4.7057
-0.4581 -5.6363 2.3445
-6.2978 -0.1814 -0.2087
O Ce F Te
8 2 2 2
direct
0.8628 0.4943 0.8480
0.1372 0.5057 0.1520
0.4250 0.4250 0.6771
0.4943 0.8628 0.8480
0.1902 0.1902 0.5333
0.8098 0.8098 0.4667
0.5750 0.5750 0.3229
0.5057 0.1372 0.1520
0.1929 0.1929 0.8885
0.8071 0.8071 0.1115
0.9624 0.9624 0.8202
0.0376 0.0376 0.1798
0.6383 0.6383 0.6412
0.3617 0.3617 0.3588
```